Crystalline Zr2Sc3TiN6 at its relaxed geometry, computed with GGA-PBE.

Output
* formation energy from raw total energies: -21.81 eV per formula unit
* symmetry: C2/m, No. 12

Unit cell a=3.186 b=6.381 c=7.141 alpha=103.26 beta=102.89 gamma=90.00
Positions (direct):
Zr 0.836 0.672 0.672
Zr 0.164 0.328 0.328
Sc 0.500 0.500 0.000
Sc 0.836 0.165 0.672
Sc 0.164 0.835 0.328
Ti 0.500 0.000 0.000
N 0.337 0.921 0.674
N 0.666 0.584 0.332
N 0.663 0.079 0.326
N 0.999 0.241 0.998
N 0.001 0.759 0.002
N 0.334 0.416 0.668